NaTh2Te4: optimized geometry, GGA-PBE.

a b c (Å): 4.4667 14.6849 15.5371
angles (deg): 90.00 90.00 90.00
Closest atoms and distances in Å follow each position.
Space group Cmcm (No. 63)
Unique sites:
Na 0.0000 0.1089 0.2500 (multiplicity 4)  6 Te 3.23-3.48
Th 0.0000 0.3692 0.0677 (multiplicity 8)  6 Te 3.07-3.19
Te 0.0000 0.0000 0.0000 (multiplicity 4)  4 Th 3.13
Te 0.0000 0.2752 0.6176 (multiplicity 8)  3 Th 3.18-3.19, 2 Na 3.48
Te 0.0000 0.4503 0.2500 (multiplicity 4)  2 Th 3.07, 2 Na 3.23

Results
E_form (uncorrected) = -1114 meV/atom
Relative energy among the computed polymorphs = 0.00 eV per formula unit
DOS at the Fermi energy = 6.51 states/eV/cell
Spin magnetization = 0.0000 μB per atom
Crystal system = orthorhombic